1.
A relaxed structure of Cs2ZrCu2Se4, computed with PBE.

Cell: 7.8854 7.8854 6.0134 Å, 90.00 90.00 135.20°
Positions (direct):
Cs  0.0000  0.5000  0.2404
Cs  0.5000  0.0000  0.7596
Zr  0.0000  0.0000  0.5000
Cu  0.0000  0.0000  0.0000
Cu  0.5000  0.5000  0.5000
Se  0.1572  0.3466  0.7511
Se  0.3466  0.1572  0.2489
Se  0.6534  0.8428  0.2489
Se  0.8428  0.6534  0.7511

Results
* total moment: 0.0 μB/f.u.
* space group: C222 (21)
* E: -4.516 eV per atom
* crystal system: orthorhombic


2.
A relaxed structure of CsSmCuTe3, computed with PBE.

Cell: 8.8982 8.8982 11.6696 Å, 90.00 90.00 151.96°
Positions (direct):
Cs  0.2408  0.7592  0.7500
Cs  0.7592  0.2408  0.2500
Sm  0.5000  0.5000  0.0000
Sm  0.5000  0.5000  0.5000
Cu  0.0361  0.9639  0.2500
Cu  0.9639  0.0361  0.7500
Te  0.1240  0.8760  0.0648
Te  0.1240  0.8760  0.4352
Te  0.4424  0.5576  0.2500
Te  0.5576  0.4424  0.7500
Te  0.8760  0.1240  0.5648
Te  0.8760  0.1240  0.9352

Results
* total moment: 0.0 μB/f.u.
* space group: Cmcm (63)
* E: -4.050 eV per atom
* crystal system: orthorhombic


3.
A relaxed structure of CsSm2Cu3Te5, computed with PBE.

Cell: 8.1258 8.1258 18.7959 Å, 90.00 90.00 148.30°
Positions (direct):
Cs  0.0566  0.9434  0.7500
Cs  0.9434  0.0566  0.2500
Sm  0.1930  0.8070  0.0896
Sm  0.1930  0.8070  0.4104
Sm  0.8070  0.1930  0.5896
Sm  0.8070  0.1930  0.9104
Cu  0.3396  0.6604  0.7500
Cu  0.4154  0.5846  0.0237
Cu  0.4154  0.5846  0.4763
Cu  0.5846  0.4154  0.5237
Cu  0.5846  0.4154  0.9763
Cu  0.6604  0.3396  0.2500
Te  0.1606  0.8394  0.5724
Te  0.1606  0.8394  0.9276
Te  0.2429  0.7571  0.2500
Te  0.4443  0.5557  0.6149
Te  0.4443  0.5557  0.8851
Te  0.5557  0.4443  0.1149
Te  0.5557  0.4443  0.3851
Te  0.7571  0.2429  0.7500
Te  0.8394  0.1606  0.0724
Te  0.8394  0.1606  0.4276

Results
* total moment: 0.0 μB/f.u.
* space group: Cmcm (63)
* E: -4.229 eV per atom
* crystal system: orthorhombic